{"formula": "Hf5TiAs4", "functional": "PBE-GGA", "state": "relaxed", "cell": [[7.9446, -1.8244, 0.0000], [7.9446, 1.8244, 0.0000], [-2.0322, 0.0000, 7.1090]], "species": ["Hf", "Hf", "Hf", "Hf", "Hf", "Ti", "As", "As", "As", "As"], "fractional_positions": [[0.0000, 0.0000, 0.0000], [0.3100, 0.3100, 0.1525], [0.3411, 0.3411, 0.6964], [0.6589, 0.6589, 0.3036], [0.6899, 0.6899, 0.8475], [0.0000, 0.0000, 0.5000], [0.1658, 0.1658, 0.5708], [0.4848, 0.4848, 0.2484], [0.5152, 0.5152, 0.7516], [0.8342, 0.8342, 0.4292]], "total_magnetization_mub_per_fu": 0.000, "delta_e_f_ev_per_atom": -0.5889, "crystal_system": "monoclinic"}